Record 1
{
  "formula": "NaPrMg",
  "functional": "PBE",
  "state": "relaxed",
  "dos_ef_per_ev_cell": 2.48,
  "e_form_mev_per_atom": 95,
  "lattice_angstrom": [[5.593, 0.000, 0.000], [-2.796, 4.843, 0.000], [0.000, 0.000, 3.361]],
  "species": ["Na", "Pr", "Mg"],
  "fractional_positions": [[0.000, 0.000, 0.000], [0.333, 0.667, 0.497], [0.667, 0.333, 0.994]]
}

Record 2
{
  "formula": "NaPr2Mg",
  "functional": "PBE",
  "state": "relaxed",
  "dos_ef_per_ev_cell": 4.32,
  "e_form_mev_per_atom": 75,
  "lattice_angstrom": [[3.937, 0.000, 0.000], [0.000, 3.937, 0.000], [0.000, 0.000, 8.500]],
  "species": ["Na", "Pr", "Pr", "Mg"],
  "fractional_positions": [[0.000, 0.000, 0.000], [0.500, 0.500, 0.281], [0.500, 0.500, 0.719], [0.000, 0.000, 0.500]]
}

Record 3
{
  "formula": "NaPrMg",
  "functional": "PBE",
  "state": "relaxed",
  "dos_ef_per_ev_cell": 4.59,
  "e_form_mev_per_atom": 54,
  "lattice_angstrom": [[1.707, -9.782, 0.000], [1.707, 9.782, 0.000], [0.000, 0.000, 5.601]],
  "species": ["Na", "Na", "Pr", "Pr", "Mg", "Mg"],
  "fractional_positions": [[0.214, 0.786, 0.750], [0.786, 0.214, 0.250], [0.099, 0.901, 0.250], [0.901, 0.099, 0.750], [0.451, 0.549, 0.250], [0.549, 0.451, 0.750]]
}

Values of energy, in order: -2.4698, -3.0435, -2.5108, all in eV per atom.